The following is a PBE-GGA calculation of a relaxed Cs2CaHfMn crystal, from Alexandria.

space group	P4/mmm, No. 123
calculated formation energy	1.9062	eV per atom

a = 5.6213 Å, b = 5.6213 Å, c = 5.9011 Å
α = 90.00°, β = 90.00°, γ = 90.00°
With the nearest neighbours (Å) after each atom.
Element x y z (fractional)
Cs  0.0000  0.5000  0.0000  2 Mn 2.81
Cs  0.5000  0.0000  0.0000  2 Mn 2.81
Ca  0.0000  0.0000  0.5000  2 Mn 2.95
Mn  0.0000  0.0000  0.0000  4 Cs 2.81, 2 Ca 2.95
Hf  0.5000  0.5000  0.5000  4 Ca 3.97, 8 Cs 4.07

The following is a PBE-GGA calculation of a relaxed Tb6Y2Tm crystal, from Alexandria.

space group	C2/c, No. 15
calculated formation energy	0.1144	eV per atom

a = 6.5802 Å, b = 9.5591 Å, c = 9.5591 Å
α = 96.05°, β = 80.45°, γ = 80.45°
With the nearest neighbours (Å) after each atom.
Element x y z (fractional)
Tb  0.5014  0.6508  0.2802  4 Tb 3.21-3.54, 1 Tm 3.30, 3 Y 3.37-3.50
Tb  0.9986  0.7198  0.3492  4 Tb 3.21-3.54, 1 Tm 3.30, 3 Y 3.37-3.50
Tb  0.4986  0.3492  0.7198  4 Tb 3.21-3.54, 1 Tm 3.30, 3 Y 3.37-3.50
Tb  0.0014  0.2802  0.6508  4 Tb 3.21-3.54, 1 Tm 3.30, 3 Y 3.37-3.50
Tb  0.7285  0.0570  0.4623  6 Tb 3.36-3.54, 2 Y 3.47-3.65, 1 Tm 3.49
Tb  0.7715  0.5377  0.9430  6 Tb 3.36-3.54, 2 Y 3.47-3.65, 1 Tm 3.49
Tb  0.2715  0.9430  0.5377  6 Tb 3.36-3.54, 2 Y 3.47-3.65, 1 Tm 3.49
Tb  0.2285  0.4623  0.0570  6 Tb 3.36-3.54, 2 Y 3.47-3.65, 1 Tm 3.49
Tb  0.3172  0.7796  0.9579  3 Tb 3.25-3.43, 1 Tm 3.38, 2 Y 3.49-3.51
Tb  0.1828  0.0421  0.2204  3 Tb 3.25-3.43, 1 Tm 3.38, 2 Y 3.49-3.51
Tb  0.6828  0.2204  0.0421  3 Tb 3.25-3.43, 1 Tm 3.38, 2 Y 3.49-3.51
Tb  0.8172  0.9579  0.7796  3 Tb 3.25-3.43, 1 Tm 3.38, 2 Y 3.49-3.51
Y  0.1306  0.6197  0.6686  3 Y 3.36-3.63, 7 Tb 3.37-3.65
Y  0.3694  0.3314  0.3803  3 Y 3.36-3.63, 7 Tb 3.37-3.65
Y  0.8694  0.3803  0.3314  3 Y 3.36-3.63, 7 Tb 3.37-3.65
Y  0.6306  0.6686  0.6197  3 Y 3.36-3.63, 7 Tb 3.37-3.65
Tm  0.2500  0.1197  0.8803  8 Tb 3.30-3.67
Tm  0.7500  0.8803  0.1197  8 Tb 3.30-3.67

The following is a PBE-GGA calculation of a relaxed TmHgP crystal, from Alexandria.

space group	R-3m, No. 166
calculated formation energy	-0.6384	eV per atom

a = 4.6818 Å, b = 4.6818 Å, c = 9.2442 Å
α = 75.33°, β = 75.33°, γ = 60.00°
With the nearest neighbours (Å) after each atom.
Element x y z (fractional)
P  0.2849  0.2849  0.1452  4 Tm 2.70-2.71, 1 Hg 2.72
P  0.7151  0.7151  0.8548  4 Tm 2.70-2.71, 1 Hg 2.72
Hg  0.1822  0.1822  0.4533  1 P 2.72, 3 Hg 2.83
Hg  0.8178  0.8178  0.5467  1 P 2.72, 3 Hg 2.83
Tm  0.3866  0.3866  0.8401  4 P 2.70-2.71
Tm  0.6134  0.6134  0.1599  4 P 2.70-2.71